# MnTeO2 PBE+U optimized geometry
data_MnTeO2
_symmetry_space_group_name_H-M 'P 1'
_symmetry_Int_Tables_number 1
_cell_length_a 5.5180
_cell_length_b 5.5180
_cell_length_c 5.7948
_cell_angle_alpha 61.57
_cell_angle_beta 61.57
_cell_angle_gamma 90.00
loop_
_symmetry_equiv_pos_as_xyz
'x,y,z'
loop_
_atom_site_label
_atom_site_fract_x
_atom_site_fract_y
_atom_site_fract_z
O1 0.8750 0.8232 0.7500
Mn1 0.2500 0.7500 0.5000
Te1 0.0000 0.0000 0.0000
O2 0.1768 0.6250 0.2500
Te2 0.7500 0.2500 0.5000
Mn2 0.5000 0.5000 0.0000
O3 0.5732 0.1250 0.2500
O4 0.3750 0.4268 0.7500
# M_tot, μB per atom: 1.212
# D(E_F), states/eV per cell: 3.1
# Energy, eV/atom: -5.8080